#P
# VPd3Au4 (PBE, relaxed)
data_VPd3Au4
_cell_length_a 2.902
_cell_length_b 4.186
_cell_length_c 23.259
_cell_angle_alpha 90.00
_cell_angle_beta 90.00
_cell_angle_gamma 90.00
_space_group_name_H-M_alt 'I m m m'
_space_group_IT_number 71
_space_group_name_Hall '-I 2 2'
loop_
_atom_site_label
_atom_site_type_symbol
_atom_site_fract_x
_atom_site_fract_y
_atom_site_fract_z
V1 V 0.000 0.000 0.000
Pd1 Pd 0.000 0.000 0.500
Pd2 Pd 0.000 0.500 0.220
Au1 Au 0.000 0.500 0.100
Au2 Au 0.000 0.500 0.340
# N(E_F) ... 11.127 states/eV/cell
# Calculated density ... 13.612 Mg/m³
# Size of the total moment ... 5.0 μB/cell

***

#Q
# VPd3Au4 (PBE, relaxed)
data_VPd3Au4
_cell_length_a 23.560
_cell_length_b 4.278
_cell_length_c 2.801
_cell_angle_alpha 90.00
_cell_angle_beta 90.05
_cell_angle_gamma 90.00
_space_group_name_H-M_alt 'C 1 2/m 1'
_space_group_IT_number 12
loop_
_space_group_symop_operation_xyz
'x,y,z'
'-x,-y,-z'
'-x,y,-z'
'x,-y,z'
'x+1/2,y+1/2,z'
'-x+1/2,-y+1/2,-z'
'-x+1/2,y+1/2,-z'
'x+1/2,-y+1/2,z'
loop_
_atom_site_label
_atom_site_type_symbol
_atom_site_fract_x
_atom_site_fract_y
_atom_site_fract_z
V1 V 0.000 0.000 0.000
Pd1 Pd 0.000 0.500 0.500
Pd2 Pd 0.157 0.500 0.001
Au1 Au 0.095 0.000 0.500
Au2 Au 0.214 0.000 0.502
# N(E_F) ... 12.610 states/eV/cell
# Calculated density ... 13.624 Mg/m³
# Size of the total moment ... 2.5 μB/cell

***

Relative energy table, unit meV/atom: #P 0; #Q 10

***

#P
# V2PdAu2 (PBE, relaxed)
data_V2PdAu2
_cell_length_a 3.800
_cell_length_b 3.800
_cell_length_c 11.924
_cell_angle_alpha 90.00
_cell_angle_beta 90.00
_cell_angle_gamma 90.00
_space_group_name_H-M_alt 'I 4/m m m'
_space_group_IT_number 139
_space_group_name_Hall '-I 4 2'
loop_
_atom_site_label
_atom_site_type_symbol
_atom_site_fract_x
_atom_site_fract_y
_atom_site_fract_z
V1 V 0.000 0.000 0.080
Pd1 Pd 0.000 0.000 0.500
Au1 Au 0.000 0.500 0.250
# N(E_F) ... 9.117 states/eV/cell
# Calculated density ... 11.615 Mg/m³
# Size of the total moment ... 0.0 μB/cell

***

#Q
# V2PdAu2 (PBE, relaxed)
data_V2PdAu2
_cell_length_a 7.583
_cell_length_b 7.583
_cell_length_c 2.839
_cell_angle_alpha 90.00
_cell_angle_beta 90.00
_cell_angle_gamma 90.00
_space_group_name_H-M_alt 'P 4/m b m'
_space_group_IT_number 127
_space_group_name_Hall '-P 4 2ab'
loop_
_atom_site_label
_atom_site_type_symbol
_atom_site_fract_x
_atom_site_fract_y
_atom_site_fract_z
V1 V 0.109 0.391 0.000
Pd1 Pd 0.000 0.000 0.000
Au1 Au 0.182 0.682 0.500
# N(E_F) ... 9.554 states/eV/cell
# Calculated density ... 12.250 Mg/m³
# Size of the total moment ... 0.0 μB/cell

***

Relative energy table, unit meV/atom: #P 96; #Q 0

***

#P
# VPd2Au6 (PBE, relaxed)
data_VPd2Au6
_cell_length_a 12.377
_cell_length_b 3.998
_cell_length_c 6.531
_cell_angle_alpha 90.00
_cell_angle_beta 108.57
_cell_angle_gamma 90.00
_space_group_name_H-M_alt 'C 1 2/m 1'
_space_group_IT_number 12
loop_
_space_group_symop_operation_xyz
'x,y,z'
'-x,-y,-z'
'-x,y,-z'
'x,-y,z'
'x+1/2,y+1/2,z'
'-x+1/2,-y+1/2,-z'
'-x+1/2,y+1/2,-z'
'x+1/2,-y+1/2,z'
loop_
_atom_site_label
_atom_site_type_symbol
_atom_site_fract_x
_atom_site_fract_y
_atom_site_fract_z
V1 V 0.000 0.000 0.000
Pd1 Pd 0.052 0.500 0.324
Au1 Au 0.108 0.000 0.671
Au2 Au 0.161 0.500 0.004
Au3 Au 0.219 0.000 0.333
# N(E_F) ... 14.292 states/eV/cell
# Calculated density ... 15.672 Mg/m³
# Size of the total moment ... 4.5 μB/cell

***

#Q
# VPd2Au6 (PBE, relaxed)
data_VPd2Au6
_cell_length_a 5.597
_cell_length_b 5.597
_cell_length_c 13.328
_cell_angle_alpha 90.00
_cell_angle_beta 90.00
_cell_angle_gamma 90.00
_space_group_name_H-M_alt 'P 42/m n m'
_space_group_IT_number 136
_space_group_name_Hall '-P 4n 2n'
loop_
_atom_site_label
_atom_site_type_symbol
_atom_site_fract_x
_atom_site_fract_y
_atom_site_fract_z
V1 V 0.000 0.000 0.000
Pd1 Pd 0.000 0.000 0.335
Au1 Au 0.173 0.173 0.163
Au2 Au 0.185 0.185 0.500
# N(E_F) ... 16.983 states/eV/cell
# Calculated density ... 11.500 Mg/m³
# Size of the total moment ... 4.4 μB/cell

***

Relative energy table, unit meV/atom: #P 0; #Q 634

***

#P
# VPd5Au (PBE, relaxed)
data_VPd5Au
_cell_length_a 3.974
_cell_length_b 3.974
_cell_length_c 7.224
_cell_angle_alpha 90.00
_cell_angle_beta 90.00
_cell_angle_gamma 90.00
_space_group_name_H-M_alt 'P 4/m m m'
_space_group_IT_number 123
_space_group_name_Hall '-P 4 2'
loop_
_atom_site_label
_atom_site_type_symbol
_atom_site_fract_x
_atom_site_fract_y
_atom_site_fract_z
V1 V 0.000 0.000 0.000
Pd1 Pd 0.000 0.000 0.500
Pd2 Pd 0.000 0.500 0.212
Au1 Au 0.500 0.500 0.500
# N(E_F) ... 5.320 states/eV/cell
# Calculated density ... 11.354 Mg/m³
# Size of the total moment ... 0.0 μB/cell

***

#Q
# VPd5Au (PBE, relaxed)
data_VPd5Au
_cell_length_a 9.438
_cell_length_b 5.416
_cell_length_c 8.960
_cell_angle_alpha 90.00
_cell_angle_beta 91.87
_cell_angle_gamma 90.00
_space_group_name_H-M_alt 'C 1 2/c 1'
_space_group_IT_number 15
loop_
_space_group_symop_operation_xyz
'x,y,z'
'-x,-y,-z'
'-x,y,-z+1/2'
'x,-y,z+1/2'
'x+1/2,y+1/2,z'
'-x+1/2,-y+1/2,-z'
'-x+1/2,y+1/2,-z+1/2'
'x+1/2,-y+1/2,z+1/2'
loop_
_atom_site_label
_atom_site_type_symbol
_atom_site_fract_x
_atom_site_fract_y
_atom_site_fract_z
V1 V 0.000 0.179 0.250
Pd1 Pd 0.000 0.248 0.750
Pd2 Pd 0.143 0.010 0.501
Pd3 Pd 0.214 0.381 0.241
Au1 Au 0.000 0.500 0.000
# N(E_F) ... 21.002 states/eV/cell
# Calculated density ... 11.320 Mg/m³
# Size of the total moment ... 0.0 μB/cell

***

Relative energy table, unit meV/atom: #P 0; #Q 44

***

#P
# VPd2Au4 (PBE, relaxed)
data_VPd2Au4
_cell_length_a 6.907
_cell_length_b 5.329
_cell_length_c 7.362
_cell_angle_alpha 90.00
_cell_angle_beta 115.84
_cell_angle_gamma 90.00
_space_group_name_H-M_alt 'P 1 21/m 1'
_space_group_IT_number 11
loop_
_space_group_symop_operation_xyz
'x,y,z'
'-x,-y,-z'
'-x,y+1/2,-z'
'x,-y+1/2,z'
loop_
_atom_site_label
_atom_site_type_symbol
_atom_site_fract_x
_atom_site_fract_y
_atom_site_fract_z
V1 V 0.070 0.250 0.331
Pd1 Pd 0.001 0.750 0.043
Pd2 Pd 0.196 0.750 0.499
Au1 Au 0.233 0.250 0.735
Au2 Au 0.352 0.750 0.917
Au3 Au 0.394 0.002 0.278
# N(E_F) ... 11.965 states/eV/cell
# Calculated density ... 14.322 Mg/m³
# Size of the total moment ... 4.4 μB/cell

***

#Q
# VPd2Au4 (PBE, relaxed)
data_VPd2Au4
_cell_length_a 4.857
_cell_length_b 9.354
_cell_length_c 5.469
_cell_angle_alpha 90.00
_cell_angle_beta 92.64
_cell_angle_gamma 90.00
_space_group_name_H-M_alt 'P 1 21/c 1'
_space_group_IT_number 14
loop_
_space_group_symop_operation_xyz
'x,y,z'
'-x,-y,-z'
'-x,y+1/2,-z+1/2'
'x,-y+1/2,z+1/2'
loop_
_atom_site_label
_atom_site_type_symbol
_atom_site_fract_x
_atom_site_fract_y
_atom_site_fract_z
V1 V 0.000 0.000 0.000
Pd1 Pd 0.271 0.060 0.391
Au1 Au 0.063 0.723 0.833
Au2 Au 0.465 0.147 0.919
# N(E_F) ... 9.981 states/eV/cell
# Calculated density ... 14.069 Mg/m³
# Size of the total moment ... 3.8 μB/cell

***

Relative energy table, unit meV/atom: #P 0; #Q 16